{"formula": "GeWOF2", "functional": "PBE+U", "state": "relaxed", "total_magnetization_mub_per_cell": 2.9, "e_tot_ry_per_atom": -0.393, "lattice_angstrom": [[4.260, 0.000, 0.000], [0.000, 4.260, 0.000], [0.000, 0.000, 4.246]], "species": ["Ge", "W", "O", "F", "F"], "fractional_positions": [[0.000, 0.000, 0.000], [0.500, 0.500, 0.500], [0.500, 0.500, 0.000], [0.000, 0.500, 0.500], [0.500, 0.000, 0.500]]}